# 1
Hg3Br | GGA-PBE | optimized geometry

a = 4.248 Å, b = 4.624 Å, c = 12.002 Å
α = 90.00°, β = 90.00°, γ = 90.00°
Space group Cmmm (No. 65)
Asymmetric unit:
Hg 0.000 0.000 0.000 x2
Hg 0.000 0.500 0.254 x4
Br 0.000 0.000 0.500 x2

Properties
**Relative energy among the computed polymorphs**: 170 meV per atom
**VASP energy**: -4.98 eV for the cell shown



# 2
Hg3Br | GGA-PBE | optimized geometry

a = 7.705 Å, b = 7.705 Å, c = 7.705 Å
α = 90.00°, β = 90.00°, γ = 90.00°
Space group Fm-3m (No. 225)
Asymmetric unit:
Hg 0.000 0.000 0.000 x4
Hg 0.250 0.250 0.250 x8
Br 0.000 0.000 0.500 x4

Properties
**Relative energy among the computed polymorphs**: 139 meV per atom
**VASP energy**: -10.46 eV for the cell shown



# 3
HgBr | GGA-PBE | optimized geometry

a = 3.790 Å, b = 3.790 Å, c = 3.790 Å
α = 90.00°, β = 90.00°, γ = 90.00°
Space group Pm-3m (No. 221)
Asymmetric unit:
Hg 0.000 0.000 0.000 x1
Br 0.500 0.500 0.500 x1

Properties
**Relative energy among the computed polymorphs**: 386 meV per atom
**VASP energy**: -2.01 eV for the cell shown



# 4
HgBr3 | GGA-PBE | optimized geometry

a = 3.493 Å, b = 3.493 Å, c = 10.696 Å
α = 90.00°, β = 90.00°, γ = 90.00°
Space group P4/mmm (No. 123)
Asymmetric unit:
Hg 0.000 0.000 0.000 x1
Br 0.000 0.000 0.500 x1
Br 0.500 0.500 0.165 x2

Properties
**VASP energy**: -4.65 eV for the cell shown



# 5
HgBr | GGA-PBE | optimized geometry

a = 5.880 Å, b = 10.592 Å, c = 3.829 Å
α = 90.00°, β = 90.00°, γ = 90.00°
Space group Cmcm (No. 63)
Asymmetric unit:
Hg 0.000 0.100 0.250 x4
Br 0.000 0.347 0.250 x4

Properties
**Relative energy among the computed polymorphs**: 167 meV per atom
**VASP energy**: -9.80 eV for the cell shown



# 6
HgBr3 | GGA-PBE | optimized geometry

a = 7.539 Å, b = 7.539 Å, c = 7.539 Å
α = 90.00°, β = 90.00°, γ = 90.00°
Space group Fm-3m (No. 225)
Asymmetric unit:
Hg 0.000 0.000 0.000 x4
Br 0.000 0.000 0.500 x4
Br 0.250 0.250 0.250 x8

Properties
**VASP energy**: -16.88 eV for the cell shown



# 7
HgBr | GGA-PBE | optimized geometry

a = 7.582 Å, b = 7.582 Å, c = 7.582 Å
α = 90.00°, β = 90.00°, γ = 90.00°
Space group Fd-3m (No. 227, origin choice 2)
Asymmetric unit:
Hg 0.125 0.125 0.125 x8
Br 0.125 0.125 0.625 x8

Properties
**Relative energy among the computed polymorphs**: 504 meV per atom
**VASP energy**: -14.21 eV for the cell shown



# 8
HgBr | GGA-PBE | optimized geometry

a = 4.205 Å, b = 14.942 Å, c = 4.230 Å
α = 90.00°, β = 90.00°, γ = 90.00°
Space group Cmcm (No. 63)
Asymmetric unit:
Hg 0.000 0.133 0.250 x4
Br 0.000 0.370 0.250 x4

Properties
**Relative energy among the computed polymorphs**: 233 meV per atom
**VASP energy**: -9.27 eV for the cell shown



# 9
Hg2Br | GGA-PBE | optimized geometry

a = 3.752 Å, b = 3.752 Å, c = 11.598 Å
α = 90.00°, β = 90.00°, γ = 90.00°
Space group I4/mmm (No. 139)
Asymmetric unit:
Hg 0.000 0.000 0.176 x4
Br 0.000 0.000 0.500 x2

Properties
**Relative energy among the computed polymorphs**: 173 meV per atom
**VASP energy**: -4.98 eV for the cell shown



# 10
HgBr | GGA-PBE | optimized geometry

a = 8.493 Å, b = 8.493 Å, c = 8.493 Å
α = 90.00°, β = 90.00°, γ = 90.00°
Space group Pm-3n (No. 223)
Asymmetric unit:
Hg 0.000 0.250 0.500 x6
Br 0.000 0.500 0.250 x6

Properties
**Relative energy among the computed polymorphs**: 341 meV per atom
**VASP energy**: -12.62 eV for the cell shown



# 11
HgBr | GGA-PBE | optimized geometry

a = 3.894 Å, b = 7.360 Å, c = 9.271 Å
α = 90.00°, β = 90.00°, γ = 90.00°
Space group Imma (No. 74)
Asymmetric unit:
Hg 0.000 0.250 0.135 x4
Br 0.000 0.250 0.580 x4

Properties
**Relative energy among the computed polymorphs**: 183 meV per atom
**VASP energy**: -9.68 eV for the cell shown



# 12
Hg4Br | GGA-PBE | optimized geometry

a = 7.476 Å, b = 7.476 Å, c = 7.476 Å
α = 90.00°, β = 90.00°, γ = 90.00°
Space group Im-3m (No. 229)
Asymmetric unit:
Hg 0.250 0.250 0.250 x8
Br 0.000 0.000 0.000 x2

Properties
**Relative energy among the computed polymorphs**: 255 meV per atom
**VASP energy**: -4.31 eV for the cell shown



# 13
HgBr | GGA-PBE | optimized geometry

a = 13.154 Å, b = 13.154 Å, c = 4.279 Å
α = 90.00°, β = 90.00°, γ = 90.00°
Space group P4/m (No. 83)
Asymmetric unit:
Hg 0.072 0.254 0.000 x4
Hg 0.331 0.577 0.500 x4
Br 0.103 0.377 0.500 x4
Br 0.130 0.768 0.000 x4

Properties
**Relative energy among the computed polymorphs**: 145 meV per atom
**VASP energy**: -19.96 eV for the cell shown



# 14
Hg5Br | GGA-PBE | optimized geometry

a = 13.225 Å, b = 4.380 Å, c = 7.920 Å
α = 90.00°, β = 126.27°, γ = 90.00°
Space group C2/m (No. 12)
Asymmetric unit:
Hg 0.000 0.000 0.000 x2
Hg 0.160 0.000 0.853 x4
Hg 0.185 0.500 0.326 x4
Br 0.000 0.500 0.500 x2

Properties
**Relative energy among the computed polymorphs**: 0 meV per atom
**VASP energy**: -7.74 eV for the cell shown